No. 1
The following is a DFT calculation (meta-GGA SCAN) of a crystal of BeAu relaxed with PBEsol.

abc: 3.172 3.172 3.083
angles: 90.00 90.00 120.00
Fractional positions:
1 Be 0.000 0.000 0.000
2 Au 0.667 0.333 0.500

Computed properties:
Energy relative to the elements = -0.2123 eV/atom
DFT total energy = -36.968 eV per atom
M_tot = 0.00 Bohr magnetons per cell

***

No. 2
The following is a DFT calculation (meta-GGA SCAN) of a crystal of Be2Bi2Au relaxed with PBEsol.

abc: 3.462 3.462 16.470
angles: 90.00 90.00 90.00
Fractional positions:
1 Be 0.000 0.500 0.250
2 Be 0.000 0.500 0.750
3 Be 0.500 0.000 0.250
4 Be 0.500 0.000 0.750
5 Bi 0.000 0.000 0.121
6 Bi 0.000 0.000 0.879
7 Bi 0.500 0.500 0.379
8 Bi 0.500 0.500 0.621
9 Au 0.000 0.000 0.500
10 Au 0.500 0.500 0.000

Computed properties:
Energy relative to the elements = 0.4406 eV/atom
DFT total energy = -46.564 eV per atom
M_tot = 0.00 Bohr magnetons per cell